# BaCaCrTe2 PBE optimized geometry
data_BaCaCrTe2
_chemical_formula_sum 'Ba1 Ca1 Cr1 Te2'
_cell_length_a 5.8284
_cell_length_b 5.8284
_cell_length_c 6.3907
_cell_angle_alpha 90.00
_cell_angle_beta 90.00
_cell_angle_gamma 90.00
_symmetry_space_group_name_H-M 'P 4/m m m'
_symmetry_Int_Tables_number 123
_symmetry_space_group_name_Hall '-P 4 2'
loop_
_atom_site_label
_atom_site_type_symbol
_atom_site_fract_x
_atom_site_fract_y
_atom_site_fract_z
Ba1 Ba 0.0000 0.0000 0.0000
Ca1 Ca 0.0000 0.0000 0.5000
Cr1 Cr 0.5000 0.5000 0.0000
Te1 Te 0.0000 0.5000 0.5000
# - energy relative to the elements, uncorrected (eV per atom) = 0.27